Here is Cs3TcS at its PBEsol-relaxed geometry from Alexandria. Energies are from meta-GGA SCAN.

Unit cell a=5.4856 b=5.4856 c=5.4856 alpha=90.00 beta=90.00 gamma=90.00
Element x y z (fractional)
Cs1 0.0000 0.0000 0.5000
Cs2 0.0000 0.5000 0.0000
Cs3 0.5000 0.0000 0.0000
Tc1 0.0000 0.0000 0.0000
S1 0.5000 0.5000 0.5000

Results
Electronic total energy ... -154.57 eV/cell
Magnetic moment ... 0.00 μB/f.u.
Raw formation energy ... 3.55 eV/f.u.